The following is a DFT calculation (PBE) of an optimized crystal structure of LiPrEr2Pd4.

Formation energy from the elements ... -754 meV/atom
SG ... R-3m (166)

Cell lengths 4.814, 4.814, 8.720 Å; angles 73.98, 73.98, 60.00 degrees
Element x y z (fractional)
Pd1 0.123 0.123 0.630
Pd2 0.391 0.391 0.826
Pd3 0.877 0.877 0.370
Pd4 0.609 0.609 0.174
Er1 0.237 0.237 0.289
Er2 0.763 0.763 0.711
Li1 0.500 0.500 0.500
Pr1 0.000 0.000 0.000

=====

The following is a DFT calculation (PBE) of an optimized crystal structure of AsC2Se.

SG ... I-42d (122)
ΔE to the lowest computed polymorph ... 0 meV per atom
Formation energy from raw total energies ... 1591.6 meV per atom

Cell lengths 5.337, 5.337, 5.374 Å; angles 60.23, 60.23, 90.00 degrees
Element x y z (fractional)
C1 0.578 0.125 0.250
C2 0.172 0.625 0.250
C3 0.875 0.828 0.750
C4 0.375 0.422 0.750
As1 0.500 0.500 0.000
As2 0.250 0.750 0.500
Se1 0.000 0.000 0.000
Se2 0.750 0.250 0.500

=====

The following is a DFT calculation (PBE) of an optimized crystal structure of Pr3NdDy3.

Formation energy from the elements ... 29 meV/atom
SG ... P6_3/m (176)
ΔE to the lowest computed polymorph ... 0 meV per atom

Cell lengths 5.848, 9.749, 9.749 Å; angles 120.00, 90.00, 90.00 degrees
Element x y z (fractional)
Dy1 0.250 0.954 0.186
Dy2 0.750 0.186 0.232
Dy3 0.750 0.046 0.814
Dy4 0.250 0.814 0.768
Dy5 0.250 0.232 0.046
Dy6 0.750 0.768 0.954
Nd1 0.750 0.333 0.667
Nd2 0.250 0.667 0.333
Pr1 0.750 0.473 0.096
Pr2 0.250 0.096 0.622
Pr3 0.250 0.527 0.904
Pr4 0.250 0.378 0.473
Pr5 0.750 0.622 0.527
Pr6 0.750 0.904 0.378

=====

The following is a DFT calculation (PBE) of an optimized crystal structure of PrTe2Pb.

SG ... P-3m1 (164)
Formation energy from raw total energies ... -904.3 meV per atom

Cell lengths 4.538, 4.538, 23.206 Å; angles 90.00, 90.00, 120.00 degrees
Element x y z (fractional)
Pr1 0.000 0.000 0.500
Pr2 0.667 0.333 0.344
Pr3 0.333 0.667 0.656
Te1 0.333 0.667 0.421
Te2 0.667 0.333 0.087
Te3 0.667 0.333 0.579
Te4 0.000 0.000 0.740
Te5 0.333 0.667 0.913
Te6 0.000 0.000 0.260
Pb1 0.000 0.000 0.000
Pb2 0.667 0.333 0.832
Pb3 0.333 0.667 0.168

=====

The following is a DFT calculation (PBE) of an optimized crystal structure of HgTe2Rh.

SG ... R3m (160)
ΔE to the lowest computed polymorph ... 252 meV per atom
Formation energy from raw total energies ... -20.9 meV per atom

Cell lengths 9.618, 9.618, 9.618 Å; angles 21.28, 21.28, 21.28 degrees
Element x y z (fractional)
Hg1 0.514 0.514 0.514
Te1 0.760 0.760 0.760
Te2 0.973 0.973 0.973
Rh1 0.252 0.252 0.252

=====

The following is a DFT calculation (PBE) of an optimized crystal structure of V3HgAs.

Formation energy from the elements ... 1599 meV/atom
SG ... Pm-3m (221)
ΔE to the lowest computed polymorph ... 994 meV per atom

Cell lengths 4.948, 4.948, 4.948 Å; angles 90.00, 90.00, 90.00 degrees
Last column: magnetic moment on the atom in μB.
Element x y z (fractional)
Hg1 0.000 0.000 0.000  0.01
V1 0.000 0.000 0.500  2.18
V2 0.000 0.500 0.000  2.18
V3 0.500 0.000 0.000  2.18
As1 0.500 0.500 0.500  -0.25

=====

Values of total magnetic moment, in order: 0.0 0.0 0.0 0.0 0.0 7.1, all in μB per formula unit.